Li2CrGa GGA-PBE optimized geometry; E_form = 2.45 eV/f.u.; total moment = 0.031 μB per atom; SG = No. 122
1.0
6.8679 0.0000 0.0000
0.0000 6.8679 0.0000
3.4339 3.4339 2.5030
Li Cr Ga
4 2 2
Direct
0.6326 0.1250 0.2500
0.3750 0.3674 0.7500
0.8750 0.8826 0.7500
0.1174 0.6250 0.2500
0.5000 0.5000 0.0000
0.2500 0.7500 0.5000
0.0000 0.0000 0.0000
0.7500 0.2500 0.5000

Tb3Sb2H2 GGA-PBE optimized geometry; total moment = 0.000 μB per atom; SG = No. 14; raw total energy = -4.90 eV per atom
1.0
-7.2387 3.9664 -0.1141
-2.2601 -4.2771 -5.2981
-4.7561 -1.9492 3.6025
Tb H Sb
6 4 4
Direct
0.5000 0.5000 0.0000
0.0000 0.0000 0.0000
0.2168 0.4397 0.6453
0.7168 0.0603 0.6453
0.7832 0.5603 0.3547
0.2832 0.9397 0.3547
0.6650 0.3582 0.6528
0.1650 0.1418 0.6528
0.3350 0.6418 0.3472
0.8350 0.8582 0.3472
0.3847 0.7970 0.7679
0.6153 0.2030 0.2321
0.1153 0.2970 0.2321
0.8847 0.7030 0.7679

KTl2 GGA-PBE optimized geometry; E_form = -0.15 eV/f.u.; polymorph energy (0 for the lowest one) = 64 meV per atom; total moment = 0.000 μB per atom; SG = No. 8
1.0
6.8839 -0.0569 -0.0400
5.8874 3.5678 -0.0400
0.3828 0.1052 8.7611
Tl K
4 2
Direct
0.5610 0.5610 0.3529
0.9447 0.9447 0.6166
0.6715 0.6715 0.6672
0.3161 0.3161 0.8794
0.2944 0.2944 0.3193
0.0456 0.0456 0.9980

CeTh3H GGA-PBE optimized geometry; total moment = 0.000 μB per atom; SG = No. 221; raw total energy = -6.40 eV per atom
1.0
-3.0304 3.9294 -0.8764
-3.9411 -2.6715 1.6496
0.8218 1.6775 4.6799
Ce H Th
1 1 3
Direct
0.5000 0.5000 0.5000
0.0000 0.0000 0.0000
0.0000 0.5000 0.0000
0.5000 0.0000 0.0000
0.0000 0.0000 0.5000

Al2CuAs GGA-PBE optimized geometry; E_form = 0.37 eV/f.u.; total moment = 0.000 μB per atom; SG = No. 47
1.0
4.0037 0.0000 0.0000
0.0000 4.4182 0.0000
0.0000 0.0000 3.6460
As Al Cu
1 2 1
Direct
0.5000 0.0000 0.5000
0.5000 0.5000 0.0000
0.0000 0.0000 0.0000
0.0000 0.5000 0.5000

Pm3Zr3WN8 GGA-PBE optimized geometry; total moment = 0.000 μB per atom; SG = No. 166; ΔE_f (raw) = -1.3065 eV/atom
1.0
-3.4239 5.6010 0.5488
-2.7210 -5.2524 -2.8914
0.9339 -0.0971 6.7938
N Zr Pm W
8 3 3 1
Direct
0.2426 0.0196 0.2964
0.2229 0.9804 0.7035
0.7574 0.9804 0.7036
0.2229 0.4458 0.7035
0.7771 0.5542 0.2965
0.7771 0.0196 0.2965
0.7396 0.4792 0.7189
0.2604 0.5208 0.2811
0.0000 0.5000 0.5000
0.5000 0.0000 0.5000
0.5000 0.5000 0.5000
0.0000 0.0000 0.0000
0.5000 0.5000 0.0000
0.0000 0.5000 0.0000
0.0000 0.0000 0.5000

Number 1: D(E_F) 5.78 states/eV/f.u.. Number 2: D(E_F) 3.07 states/eV/f.u.. Number 3: D(E_F) 1.90 states/eV/f.u.. Number 4: D(E_F) 7.72 states/eV/f.u.. Number 5: D(E_F) 1.27 states/eV/f.u.. Number 6: D(E_F) 3.83 states/eV/f.u..